No. 1
SrTc: relaxed, PBE.

```
SrTc
1.0
3.719 0.000 0.000
0.000 3.719 0.000
0.000 0.000 3.719
Sr Tc
1 1
Direct
0.000 0.000 0.000
0.500 0.500 0.500
```

* energy above the most stable polymorph in this dataset: 1036 meV/atom
* calculated formation energy: 1.29 eV per atom
* crystal system: cubic
* V: 51.4 Å³/f.u.
* DFT total energy: -4.7388 eV/atom



No. 2
Sr6Tc7: relaxed, PBE.

```
Sr6Tc7
1.0
2.667 1.540 13.767
-2.667 1.540 13.767
0.000 -3.079 13.767
Sr Tc
6 7
Direct
0.065 0.065 0.065
0.152 0.152 0.152
0.364 0.364 0.364
0.636 0.636 0.636
0.848 0.848 0.848
0.935 0.935 0.935
0.107 0.610 0.610
0.390 0.390 0.893
0.390 0.893 0.390
0.500 0.500 0.500
0.610 0.107 0.610
0.610 0.610 0.107
0.893 0.390 0.390
```

* calculated formation energy: 0.59 eV per atom
* crystal system: trigonal
* V: 339.1 Å³/f.u.
* DFT total energy: -5.7716 eV/atom



No. 3
Sr5Tc3: relaxed, PBE.

```
Sr5Tc3
1.0
5.725 -6.198 0.000
5.725 6.198 0.000
0.000 0.000 3.907
Sr Tc
5 3
Direct
0.000 0.000 0.000
0.000 0.500 0.000
0.281 0.281 0.500
0.500 0.000 0.000
0.719 0.719 0.500
0.372 0.628 0.500
0.500 0.500 0.000
0.628 0.372 0.500
```

* energy above the most stable polymorph in this dataset: 0 meV/atom
* calculated formation energy: 0.67 eV per atom
* crystal system: orthorhombic
* V: 277.3 Å³/f.u.
* DFT total energy: -4.2679 eV/atom



No. 4
SrTc3: relaxed, PBE.

```
SrTc3
1.0
-1.529 2.553 4.772
1.529 -2.553 4.772
1.529 2.553 -4.772
Sr Tc
1 3
Direct
0.000 0.000 0.000
0.287 0.787 0.500
0.500 0.500 0.000
0.713 0.213 0.500
```

* energy above the most stable polymorph in this dataset: 209 meV/atom
* calculated formation energy: 0.79 eV per atom
* crystal system: orthorhombic
* V: 74.5 Å³/f.u.
* DFT total energy: -7.4003 eV/atom



No. 5
SrTc3: relaxed, PBE.

```
SrTc3
1.0
4.182 0.000 0.000
0.000 4.182 0.000
0.000 0.000 4.182
Sr Tc
1 3
Direct
0.000 0.000 0.000
0.000 0.500 0.500
0.500 0.000 0.500
0.500 0.500 0.000
```

* energy above the most stable polymorph in this dataset: 756 meV/atom
* calculated formation energy: 1.34 eV per atom
* crystal system: cubic
* V: 73.2 Å³/f.u.
* DFT total energy: -6.8526 eV/atom



No. 6
SrTc: relaxed, PBE.

```
SrTc
1.0
8.648 0.000 0.000
0.000 8.648 0.000
0.000 0.000 8.648
Sr Tc
6 6
Direct
0.000 0.250 0.500
0.000 0.750 0.500
0.250 0.500 0.000
0.500 0.000 0.250
0.500 0.000 0.750
0.750 0.500 0.000
0.000 0.500 0.250
0.000 0.500 0.750
0.250 0.000 0.500
0.500 0.250 0.000
0.500 0.750 0.000
0.750 0.000 0.500
```

* energy above the most stable polymorph in this dataset: 2202 meV/atom
* calculated formation energy: 2.45 eV per atom
* crystal system: cubic
* V: 107.8 Å³/f.u.
* DFT total energy: -3.5735 eV/atom



No. 7
Sr4Tc: relaxed, PBE.

```
Sr4Tc
1.0
6.032 0.000 0.000
0.000 6.032 0.000
0.000 0.000 6.032
Sr Tc
4 1
Direct
0.000 0.000 0.000
0.000 0.500 0.500
0.500 0.000 0.500
0.500 0.500 0.000
0.500 0.500 0.500
```

* energy above the most stable polymorph in this dataset: 0 meV/atom
* calculated formation energy: 0.47 eV per atom
* crystal system: cubic
* V: 219.5 Å³/f.u.
* DFT total energy: -2.9499 eV/atom



No. 8
Sr5Tc3: relaxed, PBE.

```
Sr5Tc3
1.0
6.300 0.000 0.000
3.115 8.980 0.000
3.140 -0.002 8.984
Sr Tc
10 6
Direct
0.081 0.210 0.126
0.206 0.374 0.710
0.252 0.997 0.499
0.278 0.811 0.136
0.412 0.364 0.311
0.588 0.636 0.689
0.722 0.189 0.864
0.748 0.003 0.501
0.794 0.626 0.290
0.919 0.790 0.874
0.148 0.687 0.508
0.323 0.500 0.001
0.336 0.008 0.814
0.664 0.992 0.186
0.677 0.500 0.999
0.852 0.313 0.492
```

* energy above the most stable polymorph in this dataset: 214 meV/atom
* calculated formation energy: 0.88 eV per atom
* crystal system: triclinic
* V: 254.1 Å³/f.u.
* DFT total energy: -4.0535 eV/atom



No. 9
SrTc: relaxed, PBE.

```
SrTc
1.0
-1.907 2.735 5.254
1.907 -2.735 5.254
1.907 2.735 -5.254
Sr Tc
2 2
Direct
0.355 0.105 0.250
0.645 0.895 0.750
0.064 0.314 0.750
0.936 0.686 0.250
```

* energy above the most stable polymorph in this dataset: 244 meV/atom
* calculated formation energy: 0.49 eV per atom
* crystal system: orthorhombic
* V: 54.8 Å³/f.u.
* DFT total energy: -5.5309 eV/atom



No. 10
SrTc3: relaxed, PBE.

```
SrTc3
1.0
1.432 0.827 9.906
-1.432 0.827 9.906
0.000 -1.654 9.906
Sr Tc
1 3
Direct
0.000 0.000 0.000
0.238 0.238 0.238
0.500 0.500 0.500
0.762 0.762 0.762
```

* energy above the most stable polymorph in this dataset: 194 meV/atom
* calculated formation energy: 0.78 eV per atom
* crystal system: trigonal
* V: 70.4 Å³/f.u.
* DFT total energy: -7.4150 eV/atom



No. 11
SrTc: relaxed, PBE.

```
SrTc
1.0
2.566 -5.848 0.000
2.566 5.848 0.000
0.000 0.000 3.909
Sr Tc
2 2
Direct
0.139 0.861 0.750
0.861 0.139 0.250
0.446 0.554 0.750
0.554 0.446 0.250
```

* energy above the most stable polymorph in this dataset: 238 meV/atom
* calculated formation energy: 0.49 eV per atom
* crystal system: orthorhombic
* V: 58.7 Å³/f.u.
* DFT total energy: -5.5374 eV/atom



No. 12
SrTc: relaxed, PBE.

```
SrTc
1.0
0.000 3.154 3.154
3.154 0.000 3.154
3.154 3.154 0.000
Sr Tc
1 1
Direct
0.000 0.000 0.000
0.500 0.500 0.500
```

* energy above the most stable polymorph in this dataset: 1512 meV/atom
* calculated formation energy: 1.76 eV per atom
* crystal system: cubic
* V: 62.7 Å³/f.u.
* DFT total energy: -4.2635 eV/atom



No. 13
Sr3Tc2: relaxed, PBE.

```
Sr3Tc2
1.0
4.853 0.000 0.000
-2.427 4.203 0.000
0.000 0.000 8.972
Sr Tc
3 2
Direct
0.000 0.000 0.000
0.333 0.667 0.307
0.667 0.333 0.693
0.333 0.667 0.972
0.667 0.333 0.028
```

* energy above the most stable polymorph in this dataset: 363 meV/atom
* calculated formation energy: 0.81 eV per atom
* crystal system: trigonal
* V: 183.0 Å³/f.u.
* DFT total energy: -4.3452 eV/atom